Entry from the Alexandria database: a geometry-optimized In2C structure (PBE).

Computed properties:
Crystal system = orthorhombic

a = 10.3010 Å, b = 3.5456 Å, c = 6.1986 Å
α = 90.00°, β = 90.00°, γ = 90.00°
Closest atoms and distances in Å follow each position.
Positions (direct):
In 0.0020 0.2500 0.2164  3 C 2.42-2.62
In 0.2224 0.2500 0.5111  3 C 2.36-2.38
In 0.2776 0.7500 0.0111  3 C 2.36-2.38
In 0.4980 0.7500 0.7164  3 C 2.42-2.62
In 0.5020 0.2500 0.2836  3 C 2.42-2.62
In 0.7224 0.2500 0.9889  3 C 2.36-2.38
In 0.7776 0.7500 0.4889  3 C 2.36-2.38
In 0.9980 0.7500 0.7836  3 C 2.42-2.62
C 0.1491 0.2500 0.8712  6 In 2.36-2.62
C 0.3509 0.7500 0.3712  6 In 2.36-2.62
C 0.6491 0.2500 0.6288  6 In 2.36-2.62
C 0.8509 0.7500 0.1288  6 In 2.36-2.62

=====

Entry from the Alexandria database: a geometry-optimized InC structure (PBE).

Computed properties:
Crystal system = hexagonal
Relative energy among the computed polymorphs = 111.5 kJ per mole of atoms

a = 5.6411 Å, b = 5.6411 Å, c = 3.4478 Å
α = 90.00°, β = 90.00°, γ = 120.00°
Closest atoms and distances in Å follow each position.
Positions (direct):
In 0.0000 0.0000 0.0000  6 C 2.82
In 0.3333 0.6667 0.5000  6 C 2.37
In 0.6667 0.3333 0.5000  6 C 2.37
C 0.0000 0.5000 0.0000  4 In 2.37
C 0.5000 0.0000 0.0000  4 In 2.37
C 0.5000 0.5000 0.0000  4 In 2.37

=====

Entry from the Alexandria database: a geometry-optimized In2C structure (PBE).

Computed properties:
Crystal system = tetragonal

a = 6.1196 Å, b = 6.1196 Å, c = 6.1196 Å
α = 150.38°, β = 150.38°, γ = 42.39°
Closest atoms and distances in Å follow each position.
Positions (direct):
In 0.1308 0.1308 0.0000  4 C 2.67, 1 In 2.99
In 0.8692 0.8692 0.0000  4 C 2.67, 1 In 2.99
C 0.5000 0.5000 0.0000  8 In 2.67

=====

Entry from the Alexandria database: a geometry-optimized InC structure (PBE).

Computed properties:
Crystal system = hexagonal
Relative energy among the computed polymorphs = 101.5 kJ per mole of atoms

a = 3.4531 Å, b = 3.4531 Å, c = 2.9040 Å
α = 90.00°, β = 90.00°, γ = 120.00°
Closest atoms and distances in Å follow each position.
Positions (direct):
In 0.0000 0.0000 0.0000  6 C 2.47
C 0.3333 0.6667 0.5000  6 In 2.47

=====

no.,DFT formation energy (meV/atom),electronic total energy (eV/atom)
1,883.2,-4.017
2,1866.2,-4.115
3,1375.6,-3.525
4,1762.6,-4.219